Density functional theory data (GGA+U) for a geometry-optimized TmFeO3 structure.

```
data_TmFeO3
_chemical_formula_sum 'Tm4 Fe4 O12'
_cell_length_a 5.757
_cell_length_b 7.402
_cell_length_c 5.188
_cell_angle_alpha 90.00
_cell_angle_beta 90.00
_cell_angle_gamma 90.00
_space_group_name_H-M_alt 'P n m a'
_space_group_IT_number 62
_space_group_name_Hall '-P 2ac 2n'
loop_
_atom_site_label
_atom_site_type_symbol
_atom_site_fract_x
_atom_site_fract_y
_atom_site_fract_z
_atom_site_occupancy
Tm1 Tm 0.083 0.250 0.025 1
Fe1 Fe 0.000 0.000 0.500 1
O1 O 0.044 0.750 0.377 1
O2 O 0.181 0.557 0.806 1
```

Computed properties:
DOS(E_F) (states/eV per cell): 0.062
Magnetic moment (μB per formula unit): 3.00
Calculated total energy (eV per formula unit): -37.061